VASP calculation (PBE) on a relaxed BeReHg2 crystal.

Output
DFT total energy = -13.2 eV/f.u.
calculated volume = 66 Å³/f.u.
ρ = 15098 kg/m3
size of the total moment = 0.000 μB per atom

Lattice parameters (Å, degrees): 2.894 3.479 6.516 90.00 90.00 90.00
Atoms (fractional coordinates):
Re  0.500  0.500  0.250
Hg  0.000  0.000  0.527
Hg  0.000  0.000  0.973
Be  0.500  0.500  0.750